[1]
# CaMn2Co | Alexandria | PBE | relaxed
data_CaMn2Co
_chemical_formula_sum 'Ca1 Mn2 Co1'
_space_group_name_H-M_alt 'P 1'
_space_group_IT_number 1
_space_group_name_Hall 'P 1'
_cell_length_a 4.2575
_cell_length_b 4.2575
_cell_length_c 4.2575
_cell_angle_alpha 60.00
_cell_angle_beta 60.00
_cell_angle_gamma 60.00
loop_
_atom_site_label
_atom_site_fract_x
_atom_site_fract_y
_atom_site_fract_z
Mn1 0.7500 0.7500 0.7500
Mn2 0.2500 0.2500 0.2500
Ca1 0.0000 0.0000 0.0000
Co1 0.5000 0.5000 0.5000
# DFT formation energy: 1.0489 eV/atom
# symmetry: Fm-3m, No. 225
# total magnetization: 0.000 μB per atom
# theoretical density: 6.4 g/cm3
# DOS(E_F): 23.36 states/eV/cell
# polymorph energy (0 for the lowest one): 797 meV/atom



[2]
# CaMn2Co2 | Alexandria | PBE | relaxed
data_CaMn2Co2
_chemical_formula_sum 'Ca1 Mn2 Co2'
_space_group_name_H-M_alt 'P 1'
_space_group_IT_number 1
_space_group_name_Hall 'P 1'
_cell_length_a 3.9935
_cell_length_b 3.9935
_cell_length_c 5.6412
_cell_angle_alpha 69.27
_cell_angle_beta 69.27
_cell_angle_gamma 90.00
loop_
_atom_site_label
_atom_site_fract_x
_atom_site_fract_y
_atom_site_fract_z
Mn1 0.2500 0.7500 0.5000
Mn2 0.7500 0.2500 0.5000
Co1 0.6158 0.6158 0.7684
Co2 0.3842 0.3842 0.2316
Ca1 0.0000 0.0000 0.0000
# DFT formation energy: 0.2370 eV/atom
# symmetry: I4/mmm, No. 139
# total magnetization: 1.249 μB per atom
# theoretical density: 5.7 g/cm3
# DOS(E_F): 8.20 states/eV/cell
# polymorph energy (0 for the lowest one): 0 meV/atom



[3]
# CaMn2Co2 | Alexandria | PBE | relaxed
data_CaMn2Co2
_chemical_formula_sum 'Ca1 Mn2 Co2'
_space_group_name_H-M_alt 'P 1'
_space_group_IT_number 1
_space_group_name_Hall 'P 1'
_cell_length_a 4.0235
_cell_length_b 4.0235
_cell_length_c 5.3691
_cell_angle_alpha 68.00
_cell_angle_beta 68.00
_cell_angle_gamma 90.00
loop_
_atom_site_label
_atom_site_fract_x
_atom_site_fract_y
_atom_site_fract_z
Co1 0.2500 0.7500 0.5000
Co2 0.7500 0.2500 0.5000
Ca1 0.0000 0.0000 0.0000
Mn1 0.3827 0.3827 0.2346
Mn2 0.6173 0.6173 0.7654
# DFT formation energy: 0.3330 eV/atom
# symmetry: I4/mmm, No. 139
# total magnetization: 0.781 μB per atom
# theoretical density: 6.0 g/cm3
# DOS(E_F): 5.55 states/eV/cell
# polymorph energy (0 for the lowest one): 96 meV/atom



[4]
# CaMn2Co | Alexandria | PBE | relaxed
data_CaMn2Co
_chemical_formula_sum 'Ca1 Mn2 Co1'
_space_group_name_H-M_alt 'P 1'
_space_group_IT_number 1
_space_group_name_Hall 'P 1'
_cell_length_a 4.0519
_cell_length_b 4.0519
_cell_length_c 5.7371
_cell_angle_alpha 69.28
_cell_angle_beta 69.28
_cell_angle_gamma 60.01
loop_
_atom_site_label
_atom_site_fract_x
_atom_site_fract_y
_atom_site_fract_z
Mn1 0.9869 0.9869 0.0395
Mn2 0.7004 0.7004 0.8986
Ca1 0.5036 0.5036 0.4893
Co1 0.3091 0.3091 0.0725
# DFT formation energy: 0.2521 eV/atom
# symmetry: R3m, No. 160
# total magnetization: 0.399 μB per atom
# theoretical density: 4.7 g/cm3
# DOS(E_F): 3.05 states/eV/cell
# polymorph energy (0 for the lowest one): 0 meV/atom